First-principles (PBE) data for a geometry-optimized TbNdEr2Sc4 structure, as listed in Alexandria via LeMat-Bulk.

Lattice parameters (Å, degrees): 4.916 4.921 10.495 62.05 90.00 90.00
Fractional coordinates of all 8 atoms:
Sc  0.000  0.248  0.252
Sc  0.500  0.748  0.252
Er  0.500  0.000  0.500
Tb  0.000  0.500  0.500
Nd  0.500  0.500  0.000
Sc  0.000  0.752  0.748
Er  0.000  0.000  0.000
Sc  0.500  0.252  0.748

Calculated values
For the volume, the calculation gives 224 Å³ per cell. Its formation energy is 0.43 eV/f.u. As for the total moment: 0.00 μB/f.u.

First-principles (PBE) data for a geometry-optimized CuOs2Se structure, as listed in Alexandria via LeMat-Bulk.

Lattice parameters (Å, degrees): 5.546 5.546 5.546 150.39 133.15 56.41
Fractional coordinates of all 4 atoms:
Cu  0.243  0.743  0.500
Se  0.529  0.529  0.000
Os  0.974  0.974  0.000
Os  0.754  0.254  0.500

Calculated values
The formation energy (no corrections) is 0.701 eV per atom. For the volume, the calculation gives 61 Å³ per cell. As for the total moment: 0.00 μB/f.u.

First-principles (PBE) data for a geometry-optimized KYSn3 structure, as listed in Alexandria via LeMat-Bulk.

Lattice parameters (Å, degrees): 5.612 5.612 5.612 90.00 90.00 90.00
Fractional coordinates of all 5 atoms:
Sn  0.000  0.500  0.000
Y  0.500  0.500  0.500
Sn  0.500  0.000  0.000
K  0.000  0.000  0.000
Sn  0.000  0.000  0.500

Calculated values
The excess energy over the best structure of this formula in the dataset comes out at 779 meV/atom. For the volume, the calculation gives 177 Å³ per cell. Its formation energy is 4.21 eV/f.u. As for the total moment: 0.00 μB/f.u.

First-principles (PBE) data for a geometry-optimized Pm3BiAs2 structure, as listed in Alexandria via LeMat-Bulk.

Lattice parameters (Å, degrees): 5.247 6.927 10.252 90.00 90.00 112.26
Fractional coordinates of all 12 atoms:
As  0.000  0.000  0.500
Pm  0.374  0.747  0.952
Pm  0.900  0.799  0.250
Pm  0.374  0.747  0.548
Bi  0.218  0.436  0.250
As  0.000  0.000  0.000
Pm  0.626  0.253  0.452
As  0.533  0.065  0.750
As  0.467  0.935  0.250
Pm  0.100  0.201  0.750
Pm  0.626  0.253  0.048
Bi  0.782  0.564  0.750

Calculated values
For the volume, the calculation gives 345 Å³ per cell. Its formation energy is -5.63 eV/f.u. As for the total moment: 0.00 μB/f.u.

First-principles (PBE) data for a geometry-optimized Rb2NaHfTa structure, as listed in Alexandria via LeMat-Bulk.

Lattice parameters (Å, degrees): 5.376 6.299 5.376 90.00 90.00 90.00
Last column: magnetic moment on the atom in μB.
Fractional coordinates of all 5 atoms:
Ta  0.500  0.500  0.500  1.75
Rb  0.500  0.000  0.000  0.02
Na  0.000  0.000  0.000  -0.01
Rb  0.000  0.000  0.500  0.02
Hf  0.000  0.500  0.000  0.67

Calculated values
For the volume, the calculation gives 182 Å³ per cell. Its formation energy is 10.62 eV/f.u. As for the total moment: 4.27 μB/f.u.

First-principles (PBE) data for a geometry-optimized Ca3ZnRu structure, as listed in Alexandria via LeMat-Bulk.

Lattice parameters (Å, degrees): 5.402 5.402 5.402 90.00 90.00 90.00
Fractional coordinates of all 5 atoms:
Ru  0.000  0.000  0.000
Ca  0.000  0.500  0.000
Zn  0.500  0.500  0.500
Ca  0.000  0.000  0.500
Ca  0.500  0.000  0.000

Calculated values
The excess energy over the best structure of this formula in the dataset comes out at 0 meV/atom. For the volume, the calculation gives 158 Å³ per cell. Its formation energy is 1.13 eV/f.u. As for the total moment: 0.00 μB/f.u.